Dy3In2Te6 | PBE-GGA | relaxed

Uncorrected formation energy ... -1.02 eV/atom
Fermi-level density of states ... 0.37 states/eV per atom
DFT total energy ... -4.4862 eV/atom
M_tot ... 0.0 μB/cell
Space group ... No. 12

Cell lengths 7.5922, 7.5877, 8.1631 Å; angles 81.13, 72.06, 59.98 degrees
Last column: nearest neighbours and their distance in Å.
Sites, in units of the cell vectors:
In 0.1671 0.6658 0.5000  6 Te 3.28-3.30
In 0.8329 0.3342 0.5000  6 Te 3.28-3.30
Te 0.0727 0.3365 0.7710  3 Dy 3.07-3.10, 2 In 3.28
Te 0.2548 0.0000 0.2276  3 Dy 3.07-3.10, 2 In 3.30
Te 0.4092 0.6635 0.7710  3 Dy 3.07-3.10, 2 In 3.28
Te 0.9273 0.6635 0.2290  3 Dy 3.07-3.10, 2 In 3.28
Te 0.7452 0.0000 0.7724  3 Dy 3.07-3.10, 2 In 3.30
Te 0.5908 0.3365 0.2290  3 Dy 3.07-3.10, 2 In 3.28
Dy 0.0000 0.0000 0.0000  6 Te 3.07-3.10
Dy 0.6670 0.6660 0.0000  6 Te 3.07-3.10
Dy 0.3330 0.3340 0.0000  6 Te 3.07-3.10